## Tm2Ti2AlRh5 (PBE)

Data for a geometry-optimized Tm2Ti2AlRh5 structure.

```
data_Tm2Ti2AlRh5
_chemical_formula_sum 'Tm4 Ti4 Al2 Rh10'
_cell_length_a 3.132
_cell_length_b 10.410
_cell_length_c 10.410
_cell_angle_alpha 90.00
_cell_angle_beta 90.00
_cell_angle_gamma 90.00
_space_group_name_H-M_alt 'P 1'
_space_group_IT_number 1
loop_
_space_group_symop_operation_xyz
'x,y,z'
loop_
_atom_site_label
_atom_site_type_symbol
_atom_site_fract_x
_atom_site_fract_y
_atom_site_fract_z
Rh1 Rh 0.500 0.696 0.451
Rh2 Rh 0.500 0.951 0.196
Rh3 Rh 0.500 0.451 0.304
Rh4 Rh 0.500 0.049 0.804
Rh5 Rh 0.500 0.000 0.500
Rh6 Rh 0.500 0.196 0.049
Rh7 Rh 0.500 0.804 0.951
Rh8 Rh 0.500 0.304 0.549
Rh9 Rh 0.500 0.500 0.000
Rh10 Rh 0.500 0.549 0.696
Tm1 Tm 0.000 0.173 0.327
Tm2 Tm 0.000 0.673 0.173
Tm3 Tm 0.000 0.827 0.673
Tm4 Tm 0.000 0.327 0.827
Ti1 Ti 0.000 0.866 0.366
Ti2 Ti 0.000 0.634 0.866
Ti3 Ti 0.000 0.366 0.134
Ti4 Ti 0.000 0.134 0.634
Al1 Al 0.000 0.000 0.000
Al2 Al 0.000 0.500 0.500
```

Results
The value obtained for the formation energy is -713 meV per atom. Its space-group type is P4/mbm, No. 127.